First-principles (PBE) data for CaCe2AlS6 after structural relaxation, as listed in Alexandria. Values from VASP.

Quantum ESPRESSO input file:
```
&SYSTEM
  ibrav = 0, nat = 10, ntyp = 4
/
ATOMIC_SPECIES
Al 26.98 Al.upf
Ce 140.12 Ce.upf
S 32.06 S.upf
Ca 40.08 Ca.upf
ATOMIC_POSITIONS angstrom
Al 3.680 0.000 0.000
Ce 6.198 3.218 0.000
Ce 6.198 0.000 3.218
S 1.413 0.000 0.000
S 4.611 4.917 1.518
S 4.611 1.518 1.518
S 4.611 1.518 4.917
S 4.611 4.917 4.917
S 0.802 3.218 3.218
Ca 3.458 3.218 3.218
CELL_PARAMETERS angstrom
6.235 0.000 0.000
0.000 6.435 0.000
0.000 0.000 6.435
```

Values from the calculation:
- M_tot (μB/atom) = 0.102
- E (eV/f.u.) = -57.01
- ρ (Mg/m³) = 3.47


First-principles (PBE) data for Ac2InAg3Sn4 after structural relaxation, as listed in Alexandria. Values from VASP.

Quantum ESPRESSO input file:
```
&SYSTEM
  ibrav = 0, nat = 10, ntyp = 4
/
ATOMIC_SPECIES
Sn 118.71 Sn.upf
Ag 107.87 Ag.upf
Ac 227.00 Ac.upf
In 114.82 In.upf
ATOMIC_POSITIONS angstrom
Sn 0.000 0.000 0.000
Sn -7.961 0.172 -0.376
Sn -4.170 0.299 2.497
Sn -0.836 -3.020 1.237
Ag -1.614 -0.491 2.297
Ag -10.518 0.962 -0.176
Ag -5.647 1.745 0.442
Ac -3.477 -1.214 -0.727
Ac -8.654 1.684 2.848
In -6.484 -1.275 1.679
CELL_PARAMETERS angstrom
-1.426 -4.136 -1.887
-0.247 -1.904 4.360
-11.295 3.490 0.884
```

Values from the calculation:
- formation energy from the elements (eV/atom) = -0.398
- M_tot (μB/atom) = 0.000
- ρ (Mg/m³) = 8.44


First-principles (PBE) data for MnAl2In after structural relaxation, as listed in Alexandria. Values from VASP.

Quantum ESPRESSO input file:
```
&SYSTEM
  ibrav = 0, nat = 4, ntyp = 3
/
ATOMIC_SPECIES
Al 26.98 Al.upf
In 114.82 In.upf
Mn 54.94 Mn.upf
ATOMIC_POSITIONS angstrom
Al -5.416 -0.529 2.340
Al -3.062 -0.299 1.323
In -2.194 -1.102 -1.414
Mn -5.020 -1.377 -0.194
CELL_PARAMETERS angstrom
-1.149 1.359 -2.352
-0.412 -3.286 -1.697
-5.652 -0.552 2.441
```

Values from the calculation:
- formation energy from the elements (eV/atom) = 0.089
- M_tot (μB/atom) = 0.611
- ρ (Mg/m³) = 5.48


Summary of density of states at the Fermi level in states/eV/cell
11.27, 3.42, 2.04
(order as listed above)